Record 1
Below is a crystal of CaGaTeCl2 relaxed with PBEsol, with properties calculated at the SCAN level.

The value obtained for the formation energy without anion corrections is -78.2 kJ per mole of atoms. The total energy is -16.654 eV/atom. The volume is 257.3 Å³/cell. The value obtained for the magnetization is 0.00 μB/cell.

It has space group P4/mmm (No. 123), with a = 4.638 Å, b = 4.638 Å, c = 11.964 Å, α = 90.00°, β = 90.00° and γ = 90.00°. Symmetry generates all atoms from Ca at (0.000, 0.000, 0.000), Ga at (0.000, 0.000, 0.500), Te at (0.500, 0.500, 0.000) and Cl at (0.000, 0.500, 0.500).



Record 2
Below is a crystal of AlCr2Ag relaxed with PBEsol, with properties calculated at the SCAN level.

The value obtained for the energy relative to the elements is 0.27 eV/atom. The total energy is -18.703 eV/atom. The volume is 107.3 Å³/cell. The value obtained for the magnetization is 0.00 μB/cell.

It has space group C2/m (No. 12), with a = 9.331 Å, b = 3.126 Å, c = 3.966 Å, α = 90.00°, β = 111.95° and γ = 90.00°. Symmetry generates all atoms from Al at (0.000, 0.000, 0.000), Cr at (0.246, 0.500, 0.206) and Ag at (0.000, 0.500, 0.500).



Record 3
Below is a crystal of Li2MgCu2Si4O12 relaxed with PBEsol, with properties calculated at the SCAN level.

The value obtained for the formation energy without anion corrections is -245.1 kJ per mole of atoms. The total energy is -9.921 eV/atom. The volume is 214.8 Å³/cell. The value obtained for the magnetization is 1.97 μB/cell.

It has space group P-1 (No. 2), with a = 5.208 Å, b = 5.697 Å, c = 7.437 Å, α = 84.11°, β = 80.12° and γ = 82.58°. Symmetry generates all atoms from Li at (0.084, 0.244, 0.082), Mg at (0.000, 0.000, 0.500), Cu at (0.492, 0.839, 0.682), Si at (0.219, 0.414, 0.685), Si at (0.303, 0.777, 0.125), O at (0.080, 0.584, 0.189), O at (0.231, 0.002, 0.251), O at (0.238, 0.682, 0.592), O at (0.267, 0.201, 0.551), O at (0.271, 0.866, 0.917) and O at (0.407, 0.361, 0.849).



Record 4
Below is a crystal of B3RuPb relaxed with PBEsol, with properties calculated at the SCAN level.

The value obtained for the energy relative to the elements is 1.02 eV/atom. The total energy is -25.561 eV/atom. The volume is 71.7 Å³/cell. The value obtained for the magnetization is 0.57 μB/cell.

It has space group Pm-3m (No. 221), with a = 4.154 Å, b = 4.154 Å, c = 4.154 Å, α = 90.00°, β = 90.00° and γ = 90.00°. Symmetry generates all atoms from B at (0.000, 0.000, 0.500), Ru at (0.000, 0.000, 0.000) and Pb at (0.500, 0.500, 0.500).



Record 5
Below is a crystal of ScIn2Fe relaxed with PBEsol, with properties calculated at the SCAN level.

The value obtained for the energy relative to the elements is -0.14 eV/atom. The total energy is -24.922 eV/atom. The volume is 73.5 Å³/cell. The value obtained for the magnetization is 3.27 μB/cell.

It has space group P4/mmm (No. 123), with a = 3.085 Å, b = 3.085 Å, c = 7.718 Å, α = 90.00°, β = 90.00° and γ = 90.00°. Symmetry generates all atoms from Sc at (0.000, 0.000, 0.000), In at (0.500, 0.500, 0.282) and Fe at (0.000, 0.000, 0.500).



Record 6
Below is a crystal of NdDy relaxed with PBEsol, with properties calculated at the SCAN level.

The value obtained for the energy relative to the elements is 0.02 eV/atom. The total energy is -45.670 eV/atom. The volume is 563.2 Å³/cell. The value obtained for the magnetization is 0.01 μB/cell.

It has space group R3m (No. 160, hexagonal axes), with a = 3.5528 Å, b = 3.5528 Å, c = 51.5197 Å, α = 90.00°, β = 90.00° and γ = 120.00°. Symmetry generates all atoms from Nd at (0.0000, 0.0000, 0.0000), Nd at (0.0000, 0.0000, 0.2227), Nd at (0.0000, 0.0000, 0.4979), Dy at (0.0000, 0.0000, 0.1092), Dy at (0.0000, 0.0000, 0.6111) and Dy at (0.0000, 0.0000, 0.7225).



Record 7
Below is a crystal of ZnSnPS2 relaxed with PBEsol, with properties calculated at the SCAN level.

The value obtained for the formation energy without anion corrections is 48.5 kJ per mole of atoms. The total energy is -15.315 eV/atom. The volume is 104.8 Å³/cell. The value obtained for the magnetization is 0.00 μB/cell.

It has space group P4/mmm (No. 123), with a = 4.460 Å, b = 4.460 Å, c = 5.269 Å, α = 90.00°, β = 90.00° and γ = 90.00°. Symmetry generates all atoms from Zn at (0.000, 0.000, 0.000), Sn at (0.500, 0.500, 0.000), P at (0.500, 0.500, 0.500) and S at (0.000, 0.500, 0.500).



Record 8
Below is a crystal of BaNiAg2 relaxed with PBEsol, with properties calculated at the SCAN level.

The value obtained for the energy relative to the elements is 0.17 eV/atom. The total energy is -29.446 eV/atom. The volume is 93.6 Å³/cell. The calculation puts the polymorph energy (0 for the lowest one) at 0 meV/atom. The value obtained for the magnetization is 0.00 μB/cell.

It has space group P2/m (No. 10), with a = 4.832 Å, b = 4.282 Å, c = 4.846 Å, α = 90.00°, β = 110.94° and γ = 90.00°. Symmetry generates all atoms from Ba at (0.000, 0.000, 0.000), Ni at (0.500, 0.000, 0.500) and Ag at (0.327, 0.500, 0.672).



Record 9
Below is a crystal of MnNi3Au relaxed with PBEsol, with properties calculated at the SCAN level.

The value obtained for the energy relative to the elements is 1.08 eV/atom. The total energy is -26.111 eV/atom. The volume is 72.0 Å³/cell. The calculation puts the polymorph energy (0 for the lowest one) at 0 meV/atom. The value obtained for the magnetization is 4.19 μB/cell.

It has space group Pm-3m (No. 221), with a = 4.160 Å, b = 4.160 Å, c = 4.160 Å, α = 90.00°, β = 90.00° and γ = 90.00°. Symmetry generates all atoms from Mn at (0.000, 0.000, 0.000), Ni at (0.000, 0.000, 0.500) and Au at (0.500, 0.500, 0.500).



Record 10
Below is a crystal of HgP2SCl relaxed with PBEsol, with properties calculated at the SCAN level.

The value obtained for the formation energy without anion corrections is 133.7 kJ per mole of atoms. The total energy is -19.928 eV/atom. The volume is 99.9 Å³/cell. The value obtained for the magnetization is 1.16 μB/cell.

It has space group P4/mmm (No. 123), with a = 4.690 Å, b = 4.690 Å, c = 4.540 Å, α = 90.00°, β = 90.00° and γ = 90.00°. Symmetry generates all atoms from Hg at (0.000, 0.000, 0.000), P at (0.000, 0.500, 0.500), S at (0.500, 0.500, 0.000) and Cl at (0.500, 0.500, 0.500).



Record 11
Below is a crystal of GaPdS3 relaxed with PBEsol, with properties calculated at the SCAN level.

The value obtained for the formation energy without anion corrections is 61.7 kJ per mole of atoms. The total energy is -14.962 eV/atom. The volume is 95.7 Å³/cell. The value obtained for the magnetization is 0.00 μB/cell.

It has space group Pm-3m (No. 221), with a = 4.574 Å, b = 4.574 Å, c = 4.574 Å, α = 90.00°, β = 90.00° and γ = 90.00°. Symmetry generates all atoms from Ga at (0.000, 0.000, 0.000), Pd at (0.500, 0.500, 0.500) and S at (0.000, 0.000, 0.500).



Record 12
Below is a crystal of TlReAs relaxed with PBEsol, with properties calculated at the SCAN level.

The value obtained for the energy relative to the elements is 0.96 eV/atom. The total energy is -53.587 eV/atom. The volume is 243.9 Å³/cell. The value obtained for the magnetization is 0.00 μB/cell.

It has space group F-43m (No. 216), with a = 6.248 Å, b = 6.248 Å, c = 6.248 Å, α = 90.00°, β = 90.00° and γ = 90.00°. Symmetry generates all atoms from Tl at (0.000, 0.000, 0.000), Re at (0.250, 0.250, 0.750) and As at (0.000, 0.000, 0.500).